Here is crystalline AcTlTe at its relaxed geometry from Alexandria via LeMat-Bulk. Energies are from PBE.

## Properties
- ΔE_f (raw) (eV per atom) = -0.7727
- space group = P-1 (2)
- ΔE to the lowest computed polymorph (eV/atom) = 0.0048
- VASP energy (eV/atom) = -3.98

a b c (Å): 4.6230 8.1762 6.5792
angles (deg): 71.74 90.09 73.66
Sites, in units of the cell vectors:
Tl 0.4857 0.5326 0.7318
Tl 0.5143 0.4674 0.2682
Ac 0.1665 0.1678 0.6798
Ac 0.8335 0.8322 0.3202
Te 0.8289 0.8433 0.8169
Te 0.1711 0.1567 0.1831